4
Lattice="2.124 0.000 7.430 -1.062 1.840 7.430 -1.062 -1.840 7.430" Properties=species:S:1:pos:R:3 comment="ScPdS2, optimized geometry, DFT PBE-GGA" energy_ev_per_atom=-5.97 total_magnetization_mub_per_fu=0.0 rho_g_cm3=4.11 crystal_system=trigonal e_form_raw_ev_per_atom=-1.03 polymorph_energy_mev_per_atom=15 spacegroup="No. 166" pbc="T T T"
Sc 0.000 0.000 11.145
S 0.000 0.000 2.290
S 0.000 0.000 19.999
Pd 0.000 0.000 0.000